Compound: Be2CuSb
Source: Alexandria
Functional: GGA-PBE
Structure: optimized geometry

Geometry as POSCAR:
```
Be2CuSb
1.0
3.861 0.000 0.000
0.000 3.862 0.000
0.000 0.000 3.708
Be Sb Cu
2 1 1
Direct
0.000 0.000 0.000 Be
0.500 0.500 0.000 Be
0.000 0.500 0.500 Sb
0.500 0.000 0.500 Cu
```

## Properties
Formation energy (no corrections) ... 0.471 eV per atom
E ... -3.446 eV per atom
Space-group type ... P4/mmm, No. 123